[1]
{
  "formula": "Mn2CdAg",
  "functional": "PBE",
  "state": "relaxed",
  "lattice": [[4.971, 0.018, -0.029], [4.107, 2.801, -0.029], [0.877, 0.272, 4.977]],
  "species": ["Mn", "Mn", "Cd", "Ag"],
  "fractional_positions": [[0.498, 0.498, 0.502], [0.002, 0.002, 0.998], [0.250, 0.250, 0.250], [0.750, 0.750, 0.750]],
  "density_g_cm3": 7.94,
  "ef_mev_per_atom": 367
}

[2]
{
  "formula": "Mn2CdAg",
  "functional": "PBE",
  "state": "relaxed",
  "lattice": [[-3.579, -3.859, -1.596], [-2.874, -2.668, 3.857], [1.229, 4.808, -2.371]],
  "species": ["Mn", "Mn", "Ag", "Cd"],
  "fractional_positions": [[0.992, 0.992, 0.000], [0.753, 0.253, 0.500], [0.507, 0.507, 0.000], [0.248, 0.748, 0.500]],
  "density_g_cm3": 8.00,
  "ef_mev_per_atom": 351
}